Entry from Alexandria: AgPt2Au after structural relaxation (PBE).

Results
Energy above the lowest structure with this stoichiometry (meV/atom): 0
N(E_F) (states/eV/atom): 0.916
Energy relative to the elements (eV/atom): -0.0340

```
data_AgPt2Au
_chemical_formula_sum 'Ag1 Pt2 Au1'
_symmetry_space_group_name_H-M 'P 1'
_symmetry_Int_Tables_number 1
_cell_length_a 9.609
_cell_length_b 9.609
_cell_length_c 9.609
_cell_angle_alpha 17.01
_cell_angle_beta 17.01
_cell_angle_gamma 17.01
loop_
_symmetry_equiv_pos_as_xyz
'x,y,z'
loop_
_atom_site_label
_atom_site_fract_x
_atom_site_fract_y
_atom_site_fract_z
_atom_site_occupancy
Ag1 0.000 0.000 0.000 1
Pt1 0.250 0.250 0.250 1
Pt2 0.750 0.750 0.750 1
Au1 0.500 0.500 0.500 1
```

---

Entry from Alexandria: Rb4HgI6 after structural relaxation (PBE).

Results
Uncorrected formation energy (eV/atom): -1.145
N(E_F) (states/eV/atom): 0.000

```
data_Rb4HgI6
_chemical_formula_sum 'Rb8 Hg2 I12'
_symmetry_space_group_name_H-M 'P 1'
_symmetry_Int_Tables_number 1
_cell_length_a 10.016
_cell_length_b 10.016
_cell_length_c 17.321
_cell_angle_alpha 110.69
_cell_angle_beta 110.69
_cell_angle_gamma 54.92
loop_
_symmetry_equiv_pos_as_xyz
'x,y,z'
loop_
_atom_site_label
_atom_site_fract_x
_atom_site_fract_y
_atom_site_fract_z
_atom_site_occupancy
Rb1 0.056 0.473 0.825 1
Rb2 0.139 0.861 0.500 1
Rb3 0.256 0.591 0.174 1
Rb4 0.473 0.056 0.325 1
Rb5 0.484 0.797 0.969 1
Rb6 0.591 0.256 0.674 1
Rb7 0.797 0.484 0.469 1
Rb8 0.861 0.139 0.000 1
Hg1 0.464 0.944 0.732 1
Hg2 0.944 0.464 0.232 1
I1 0.119 0.475 0.405 1
I2 0.196 0.721 0.993 1
I3 0.206 0.230 0.133 1
I4 0.230 0.206 0.633 1
I5 0.328 0.749 0.712 1
I6 0.397 0.791 0.374 1
I7 0.475 0.119 0.905 1
I8 0.721 0.196 0.493 1
I9 0.749 0.328 0.212 1
I10 0.773 0.794 0.685 1
I11 0.791 0.397 0.874 1
I12 0.794 0.773 0.185 1
```

---

> What is the N(E_F) in the first record?

0.916 states/eV/atom

---

> Which of these has the highest N(E_F)?

AgPt2Au

---

> Number 1 is which compound?

AgPt2Au